# Ho12Cu3N5 | the Alexandria database | PBE | relaxed
# Electronic total energy   -6.20 eV/atom
# Calculated volume   21.64 Å³ per atom
# Formation energy from raw total energies   -755 meV per atom
# DOS(E_F)   0.929 states/eV/atom
data_Ho12Cu3N5
_chemical_formula_sum 'Ho48 Cu12 N20'
_cell_length_a 13.102
_cell_length_b 13.102
_cell_length_c 13.102
_cell_angle_alpha 109.47
_cell_angle_beta 109.47
_cell_angle_gamma 109.47
_space_group_name_H-M_alt 'P 1'
_space_group_IT_number 1
loop_
_space_group_symop_operation_xyz
'x,y,z'
loop_
_atom_site_label
_atom_site_fract_x
_atom_site_fract_y
_atom_site_fract_z
Ho1 0.021 0.204 0.117
Ho2 0.021 0.317 0.904
Ho3 0.087 0.704 0.683
Ho4 0.087 0.883 0.404
Ho5 0.096 0.617 0.413
Ho6 0.096 0.979 0.683
Ho7 0.117 0.021 0.204
Ho8 0.117 0.596 0.913
Ho9 0.183 0.204 0.587
Ho10 0.183 0.479 0.596
Ho11 0.204 0.117 0.021
Ho12 0.204 0.587 0.183
Ho13 0.296 0.317 0.913
Ho14 0.296 0.479 0.383
Ho15 0.317 0.904 0.021
Ho16 0.317 0.913 0.296
Ho17 0.383 0.296 0.479
Ho18 0.383 0.587 0.904
Ho19 0.404 0.087 0.883
Ho20 0.404 0.817 0.521
Ho21 0.413 0.096 0.617
Ho22 0.413 0.817 0.796
Ho23 0.479 0.383 0.296
Ho24 0.479 0.596 0.183
Ho25 0.521 0.404 0.817
Ho26 0.521 0.617 0.704
Ho27 0.587 0.183 0.204
Ho28 0.587 0.904 0.383
Ho29 0.596 0.183 0.479
Ho30 0.596 0.913 0.117
Ho31 0.617 0.413 0.096
Ho32 0.617 0.704 0.521
Ho33 0.683 0.087 0.704
Ho34 0.683 0.096 0.979
Ho35 0.704 0.521 0.617
Ho36 0.704 0.683 0.087
Ho37 0.796 0.413 0.817
Ho38 0.796 0.883 0.979
Ho39 0.817 0.521 0.404
Ho40 0.817 0.796 0.413
Ho41 0.883 0.404 0.087
Ho42 0.883 0.979 0.796
Ho43 0.904 0.021 0.317
Ho44 0.904 0.383 0.587
Ho45 0.913 0.117 0.596
Ho46 0.913 0.296 0.317
Ho47 0.979 0.683 0.096
Ho48 0.979 0.796 0.883
Cu1 0.125 0.250 0.375
Cu2 0.125 0.375 0.750
Cu3 0.250 0.375 0.125
Cu4 0.250 0.875 0.625
Cu5 0.375 0.125 0.250
Cu6 0.375 0.750 0.125
Cu7 0.625 0.250 0.875
Cu8 0.625 0.875 0.750
Cu9 0.750 0.125 0.375
Cu10 0.750 0.625 0.875
Cu11 0.875 0.625 0.250
Cu12 0.875 0.750 0.625
N1 0.000 0.000 0.000
N2 0.000 0.000 0.500
N3 0.000 0.500 0.000
N4 0.000 0.500 0.500
N5 0.125 0.750 0.875
N6 0.125 0.875 0.250
N7 0.250 0.125 0.875
N8 0.250 0.625 0.375
N9 0.375 0.250 0.625
N10 0.375 0.625 0.750
N11 0.500 0.000 0.000
N12 0.500 0.000 0.500
N13 0.500 0.500 0.000
N14 0.500 0.500 0.500
N15 0.625 0.375 0.250
N16 0.625 0.750 0.375
N17 0.750 0.375 0.625
N18 0.750 0.875 0.125
N19 0.875 0.125 0.750
N20 0.875 0.250 0.125

=====

# PmMgScPa | the Alexandria database | PBE | relaxed
# Electronic total energy   -5.20 eV/atom
# Calculated volume   26.22 Å³ per atom
# DOS(E_F)   2.288 states/eV/atom
data_PmMgScPa
_chemical_formula_sum 'Pm1 Mg1 Sc1 Pa1'
_cell_length_a 5.293
_cell_length_b 5.293
_cell_length_c 5.293
_cell_angle_alpha 60.00
_cell_angle_beta 60.00
_cell_angle_gamma 60.00
_space_group_name_H-M_alt 'P 1'
_space_group_IT_number 1
loop_
_space_group_symop_operation_xyz
'x,y,z'
loop_
_atom_site_label
_atom_site_fract_x
_atom_site_fract_y
_atom_site_fract_z
Pm1 0.000 0.000 0.000
Mg1 0.750 0.750 0.750
Sc1 0.500 0.500 0.500
Pa1 0.250 0.250 0.250

=====

# Sc3CdN | the Alexandria database | PBE | relaxed
# Electronic total energy   -6.55 eV/atom
# Calculated volume   18.70 Å³ per atom
# Formation energy from raw total energies   -901 meV per atom
# DOS(E_F)   0.516 states/eV/atom
data_Sc3CdN
_chemical_formula_sum 'Sc6 Cd2 N2'
_cell_length_a 6.333
_cell_length_b 6.333
_cell_length_c 5.382
_cell_angle_alpha 90.03
_cell_angle_beta 90.03
_cell_angle_gamma 120.00
_space_group_name_H-M_alt 'P 1'
_space_group_IT_number 1
loop_
_space_group_symop_operation_xyz
'x,y,z'
loop_
_atom_site_label
_atom_site_fract_x
_atom_site_fract_y
_atom_site_fract_z
Sc1 0.159 0.317 0.750
Sc2 0.159 0.841 0.750
Sc3 0.317 0.159 0.250
Sc4 0.683 0.841 0.750
Sc5 0.841 0.159 0.250
Sc6 0.841 0.683 0.250
Cd1 0.333 0.667 0.250
Cd2 0.667 0.333 0.750
N1 0.000 0.000 0.000
N2 0.000 0.000 0.500